Entry 1:
PBE Y4SnPS2, optimized geometry; SG = P2/m; total DFT energy (no corrections) = -7.000 eV per atom; volume = 191.8 Å³ per cell; ρ = 4.93 Mg/m³; magnetic moment = 0.00 μB per cell
1.0
4.046 0.000 0.000
0.000 7.057 -0.134
0.000 2.491 6.669
S Y P Sn
2 4 1 1
Cartesian
2.023 1.245 3.335 S
0.000 2.491 6.669 S
2.023 5.934 1.643 Y
2.023 3.614 4.893 Y
4.046 2.357 1.747 Y
0.000 7.190 4.789 Y
0.000 4.774 3.268 P
2.023 3.528 -0.067 Sn

=====

Entry 2:
PBE La11Hg9Au4, optimized geometry; SG = Cmmm; total DFT energy (no corrections) = -3.530 eV per atom; ΔE_f = -0.6124 eV/atom; volume = 680.9 Å³ per cell; ρ = 10.05 Mg/m³; magnetic moment = 0.74 μB per cell
1.0
-0.009 -1.980 3.349
-12.076 -5.703 -3.402
10.814 -7.368 -4.327
Hg La Au
9 11 4
Cartesian
4.631 -9.290 -3.219 Hg
-6.167 -8.505 -2.783 Hg
0.594 -12.382 -5.057 Hg
-5.902 -5.761 -1.161 Hg
4.896 -6.546 -1.597 Hg
-0.636 -7.525 -2.190 Hg
1.508 -2.915 0.541 Hg
-2.780 -12.136 -4.921 Hg
-1.865 -2.669 0.677 Hg
3.702 -3.392 -1.995 La
6.949 -7.087 -4.171 La
-4.301 -2.810 -1.672 La
-0.890 -9.211 -5.447 La
-8.211 -5.984 -3.558 La
-4.965 -9.679 -5.734 La
-0.373 -3.860 -2.282 La
-3.610 -6.319 -3.744 La
2.347 -6.752 -3.985 La
3.039 -10.261 -6.057 La
0.000 0.000 0.000 La
-2.725 -5.363 -0.917 Au
-3.111 -9.356 -3.278 Au
1.454 -9.688 -3.462 Au
1.839 -5.695 -1.102 Au

=====

Entry 3:
PBE Li2TlRuCl8, optimized geometry; SG = P2/m; total DFT energy (no corrections) = -3.494 eV per atom; volume = 288.0 Å³ per cell; ρ = 3.48 Mg/m³; magnetic moment = 1.01 μB per cell
1.0
6.226 -0.335 -0.004
-0.334 6.009 -0.005
0.003 0.010 7.722
Cl Ru Tl Li
8 1 1 2
Cartesian
1.834 1.524 -0.003 Cl
5.176 0.935 1.686 Cl
2.008 1.661 3.858 Cl
5.177 0.942 6.025 Cl
4.062 4.161 7.715 Cl
0.718 4.743 1.687 Cl
0.719 4.750 6.026 Cl
3.887 4.024 3.854 Cl
0.000 0.000 0.000 Ru
0.002 0.005 3.861 Tl
2.952 2.842 5.839 Li
2.943 2.843 1.873 Li